# La5Hg2Rh | the Alexandria database | PBE-GGA | optimized geometry
# **Size of the total moment**: 0.0 μB/cell
# **DOS at the Fermi energy**: 19.0 states/eV/cell
data_La5Hg2Rh
_chemical_formula_sum 'La10 Hg4 Rh2'
_cell_length_a 8.343
_cell_length_b 12.048
_cell_length_c 4.977
_cell_angle_alpha 90.00
_cell_angle_beta 90.00
_cell_angle_gamma 90.00
_symmetry_space_group_name_H-M 'P b a m'
_symmetry_Int_Tables_number 55
_symmetry_space_group_name_Hall '-P 2 2ab'
loop_
_atom_site_label
_atom_site_type_symbol
_atom_site_fract_x
_atom_site_fract_y
_atom_site_fract_z
_atom_site_occupancy
La1 La 0.000 0.000 0.000 1
La2 La 0.139 0.298 0.000 1
La3 La 0.183 0.576 0.500 1
Hg1 Hg 0.075 0.835 0.500 1
Rh1 Rh 0.000 0.500 0.000 1

***

# LaHgRh2 | the Alexandria database | PBE-GGA | optimized geometry
# **Size of the total moment**: 0.0 μB/cell
# **DOS at the Fermi energy**: 2.8 states/eV/cell
data_LaHgRh2
_chemical_formula_sum 'La1 Hg1 Rh2'
_cell_length_a 3.528
_cell_length_b 3.528
_cell_length_c 6.405
_cell_angle_alpha 90.00
_cell_angle_beta 90.00
_cell_angle_gamma 90.00
_symmetry_space_group_name_H-M 'P 4/m m m'
_symmetry_Int_Tables_number 123
_symmetry_space_group_name_Hall '-P 4 2'
loop_
_atom_site_label
_atom_site_type_symbol
_atom_site_fract_x
_atom_site_fract_y
_atom_site_fract_z
_atom_site_occupancy
La1 La 0.000 0.000 0.000 1
Hg1 Hg 0.000 0.000 0.500 1
Rh1 Rh 0.500 0.500 0.262 1

***

# La6HgRh3 | the Alexandria database | PBE-GGA | optimized geometry
# **Size of the total moment**: 0.0 μB/cell
# **DOS at the Fermi energy**: 16.1 states/eV/cell
data_La6HgRh3
_chemical_formula_sum 'La12 Hg2 Rh6'
_cell_length_a 12.364
_cell_length_b 4.231
_cell_length_c 12.386
_cell_angle_alpha 90.00
_cell_angle_beta 109.39
_cell_angle_gamma 90.00
_symmetry_space_group_name_H-M 'P 1 21/m 1'
_symmetry_Int_Tables_number 11
_symmetry_space_group_name_Hall '-P 2yb'
loop_
_atom_site_label
_atom_site_type_symbol
_atom_site_fract_x
_atom_site_fract_y
_atom_site_fract_z
_atom_site_occupancy
La1 La 0.035 0.250 0.394 1
La2 La 0.110 0.250 0.946 1
La3 La 0.210 0.750 0.257 1
La4 La 0.283 0.750 0.761 1
La5 La 0.360 0.250 0.537 1
La6 La 0.428 0.750 0.090 1
Hg1 Hg 0.444 0.250 0.302 1
Rh1 Rh 0.047 0.250 0.164 1
Rh2 Rh 0.189 0.750 0.496 1
Rh3 Rh 0.342 0.250 0.920 1

***

# La3HgRh | the Alexandria database | PBE-GGA | optimized geometry
# **Size of the total moment**: 0.0 μB/cell
# **DOS at the Fermi energy**: 10.1 states/eV/cell
# **Energy relative to the lowest polymorph listed for this composition**: 25.9 meV per atom
data_La3HgRh
_chemical_formula_sum 'La6 Hg2 Rh2'
_cell_length_a 5.938
_cell_length_b 6.941
_cell_length_c 8.669
_cell_angle_alpha 99.60
_cell_angle_beta 103.32
_cell_angle_gamma 114.92
_symmetry_space_group_name_H-M 'P -1'
_symmetry_Int_Tables_number 2
_symmetry_space_group_name_Hall '-P 1'
loop_
_atom_site_label
_atom_site_type_symbol
_atom_site_fract_x
_atom_site_fract_y
_atom_site_fract_z
_atom_site_occupancy
La1 La 0.050 0.188 0.330 1
La2 La 0.290 0.835 0.118 1
La3 La 0.344 0.471 0.768 1
Hg1 Hg 0.350 0.745 0.481 1
Rh1 Rh 0.237 0.168 0.970 1

***

Formation energy, record by record: -0.478; -0.288; -0.602; -0.530 eV per atom